PBE Nd3AgC, relaxed; calculated total energy = -5.4198 eV/atom; theoretical density = 7.14 g/cm³; distance to the lowest polymorph of the same formula = 0.000 eV per atom
1.0
-1.713 -2.933 -1.677
2.079 -5.253 7.066
-12.928 3.771 6.608
C Nd Ag
4 12 4
Cartesian
-6.153 -2.117 7.847
-6.409 -2.299 4.149
-0.159 -6.445 5.018
-12.403 2.030 6.978
-1.705 -0.434 0.362
-7.675 -2.338 9.788
-5.830 -4.691 7.742
-10.857 -3.981 11.634
-6.732 0.276 4.254
-8.052 -2.476 6.137
-0.827 -3.827 1.121
-11.735 -0.589 10.875
-10.287 0.747 7.059
-4.888 -2.078 2.208
-4.510 -1.940 5.860
-2.275 -5.163 4.937
-1.912 -2.190 3.644
-9.883 -0.126 3.896
-10.650 -2.226 8.352
-2.679 -4.290 8.100



PBE Nd12Ag3C5, relaxed; calculated total energy = -5.5404 eV/atom; theoretical density = 6.45 g/cm³
1.0
14.140 0.000 0.000
-4.713 13.332 0.000
-4.713 -6.666 11.546
Ag C Nd
12 20 48
Cartesian
1.178 6.666 2.886
5.892 0.833 4.330
-5.892 6.666 8.659
10.605 0.000 2.886
3.535 0.000 8.659
-3.535 2.500 10.102
1.178 -0.833 4.330
-1.178 5.833 7.216
3.535 7.499 7.216
8.249 9.165 1.443
-3.535 -2.500 10.102
8.249 4.166 1.443
-1.178 0.833 7.216
-1.178 10.832 1.443
2.357 3.333 5.773
5.892 3.333 8.659
4.713 -3.333 5.773
-1.178 3.333 2.886
4.713 6.666 0.000
0.000 0.000 0.000
-2.357 6.666 0.000
8.249 -0.833 7.216
3.535 2.500 1.443
5.892 -4.166 10.102
-2.357 -3.333 5.773
5.892 5.833 4.330
-3.535 7.499 4.330
1.178 4.166 10.102
1.178 -3.333 8.659
-4.713 3.333 5.773
7.070 0.000 0.000
3.535 9.999 2.886
-5.918 3.513 8.104
5.483 -1.838 10.536
-5.483 -0.045 9.448
7.641 -1.076 2.331
6.300 6.621 2.097
8.856 0.776 5.539
-0.770 8.504 1.010
7.207 11.941 0.234
-3.509 11.403 1.321
-1.152 4.737 10.224
0.571 8.518 7.870
-4.850 9.506 4.451
10.631 3.153 3.442
1.587 -1.794 10.458
3.127 8.460 1.087
-1.204 7.890 4.763
5.483 1.794 10.458
2.493 -2.435 6.860
5.866 1.929 1.321
5.866 10.178 3.442
2.220 9.101 4.686
-2.493 -5.275 11.311
3.561 5.442 4.763
5.284 5.590 9.214
4.143 -1.852 3.676
1.587 1.838 10.536
-2.928 7.741 9.214
-0.571 1.076 2.331
-0.770 4.872 1.087
5.918 -1.224 6.783
1.786 4.814 7.870
7.207 3.825 4.451
2.928 1.852 3.676
-1.152 -3.513 8.104
9.290 1.391 0.234
8.222 -4.737 10.224
6.499 7.442 6.007
3.127 4.827 1.010
4.577 2.435 6.860
-4.143 5.890 6.007
-1.587 0.045 9.448
9.563 -2.840 7.094
-2.493 2.840 7.094
10.197 6.710 2.097
-1.786 -0.776 5.539
-4.577 5.275 11.311
1.152 1.224 6.783
0.136 4.231 4.686



PBE Nd6Ag2C, relaxed; calculated total energy = -4.9597 eV/atom; theoretical density = 6.96 g/cm³
1.0
-2.350 -5.865 2.581
6.658 -3.111 -1.007
2.779 2.873 9.498
Ag Nd C
4 12 2
Cartesian
5.855 0.056 6.656
1.232 -6.159 4.416
1.580 -0.754 8.210
5.507 -5.349 2.863
-0.101 -4.467 1.994
4.288 0.609 9.209
6.461 -6.145 8.332
4.009 -5.717 5.713
3.860 -2.865 8.323
0.626 0.042 2.740
6.241 -2.754 5.189
3.227 -3.238 2.749
3.078 -0.386 5.359
0.846 -3.350 5.884
7.188 -1.636 9.079
2.798 -6.712 1.863
1.389 1.436 4.749
2.154 -4.488 0.787



PBE NdAgC, relaxed; calculated total energy = -5.6419 eV/atom; theoretical density = 6.77 g/cm³
1.0
3.967 0.000 0.000
1.984 3.586 0.039
1.984 0.299 9.115
Ag C Nd
2 2 2
Cartesian
5.951 2.718 8.427
1.984 1.168 0.727
3.967 1.504 5.080
3.967 2.381 4.074
5.951 3.576 2.959
1.984 0.309 6.195



PBE Nd2NiAgC, relaxed; calculated total energy = -5.7301 eV/atom; theoretical density = 7.57 g/cm³
1.0
-0.857 0.106 3.572
-4.575 -2.426 -1.026
2.328 -4.686 0.698
Ni Ag Nd C
1 1 2 1
Cartesian
-0.429 0.053 1.786
-1.552 -3.503 1.622
1.164 -2.343 0.349
-2.287 -1.213 -0.513
0.000 0.000 0.000



PBE NdAgC2O6, relaxed; raw formation energy = -1.77 eV per atom; calculated total energy = -7.3558 eV/atom; theoretical density = 4.42 g/cm³
1.0
-4.801 1.526 4.275
3.500 -1.505 5.398
2.697 6.044 -3.616
O Nd C Ag
12 2 4 2
Cartesian
0.483 0.412 5.495
1.433 1.950 2.623
-2.627 2.210 5.186
0.662 2.568 5.912
4.023 3.856 0.871
0.296 0.144 2.076
-2.071 2.567 2.036
0.913 5.654 0.562
0.733 3.499 0.145
3.466 3.499 4.021
-0.038 4.117 3.434
1.099 5.922 3.981
-0.730 1.797 3.830
2.126 4.269 2.227
0.887 1.345 6.322
0.508 4.722 -0.265
1.334 0.906 1.837
0.062 5.161 4.220
-2.191 5.845 1.642
3.586 0.221 4.415



PBE NdAg2C2O6, relaxed; raw formation energy = -1.42 eV per atom; calculated total energy = -6.7516 eV/atom; theoretical density = 4.62 g/cm³
1.0
-0.198 -4.592 -1.981
0.246 0.574 4.966
-7.942 0.182 0.372
O Ag C Nd
6 2 2 1
Cartesian
-1.421 -1.670 0.967
-1.465 -3.912 1.129
-6.357 -0.906 4.249
-1.537 -2.929 -0.892
-6.473 -2.166 2.390
-6.429 0.077 2.228
-4.777 -2.762 0.556
-3.117 -1.074 2.801
-6.410 -0.999 2.955
-1.484 -2.837 0.402
0.000 0.000 0.000



PBE NdAgCO4, relaxed; raw formation energy = -1.49 eV per atom; calculated total energy = -6.7300 eV/atom; theoretical density = 6.24 g/cm³
1.0
-0.399 3.436 -4.343
0.740 -2.577 -5.655
-5.667 0.540 -2.601
O Nd C Ag
8 2 2 2
Cartesian
-1.089 1.501 -5.810
-0.475 0.284 -3.280
-4.851 1.115 -9.319
-4.193 0.666 -4.557
-0.949 -0.843 -6.049
-4.376 2.242 -6.550
-1.132 0.733 -8.042
-4.237 -0.102 -6.789
0.000 0.000 0.000
-2.463 -1.018 -4.128
-4.841 0.782 -6.035
-0.484 0.617 -6.565
-3.033 1.988 -3.472
-2.833 0.270 -1.300